(1)
Material: Ti4Zn5Co2
Method: DFT, PBE
State: relaxed

DFT formation energy	-250	kJ/mol of formula units

CIF file:
```
data_Ti4Zn5Co2
_cell_length_a 6.755
_cell_length_b 2.925
_cell_length_c 8.383
_cell_angle_alpha 90.00
_cell_angle_beta 93.05
_cell_angle_gamma 90.00
_symmetry_space_group_name_H-M 'P 1 2/m 1'
_symmetry_Int_Tables_number 10
_symmetry_space_group_name_Hall '-P 2y'
loop_
_atom_site_label
_atom_site_type_symbol
_atom_site_fract_x
_atom_site_fract_y
_atom_site_fract_z
_atom_site_occupancy
Ti1 Ti 0.157 0.000 0.359 1
Ti2 Ti 0.222 0.000 0.945 1
Zn1 Zn 0.192 0.500 0.653 1
Zn2 Zn 0.452 0.500 0.180 1
Zn3 Zn 0.500 0.500 0.500 1
Co1 Co 0.072 0.500 0.142 1
```

(2)
Material: SiSbP2O
Method: DFT, PBE
State: relaxed

energy relative to the elements, uncorrected	-256.4	meV/atom
offset from the most stable computed form	0.000	eV per atom

CIF file:
```
data_SiSbP2O
_cell_length_a 4.810
_cell_length_b 4.810
_cell_length_c 3.410
_cell_angle_alpha 90.00
_cell_angle_beta 90.00
_cell_angle_gamma 90.00
_symmetry_space_group_name_H-M 'P 4/m m m'
_symmetry_Int_Tables_number 123
_symmetry_space_group_name_Hall '-P 4 2'
loop_
_atom_site_label
_atom_site_type_symbol
_atom_site_fract_x
_atom_site_fract_y
_atom_site_fract_z
_atom_site_occupancy
Si1 Si 0.000 0.000 0.000 1
Sb1 Sb 0.500 0.500 0.500 1
P1 P 0.000 0.500 0.000 1
O1 O 0.000 0.000 0.500 1
```

Calculated total energy in Ha/atom, matching the order above: -0.183; -0.196